# Cs2TlHgBr6 PBEsol optimized geometry
data_Cs2TlHgBr6
_chemical_formula_sum 'Cs8 Tl4 Hg4 Br24'
_symmetry_space_group_name_H-M 'F m -3 m'
_symmetry_Int_Tables_number 225
_symmetry_space_group_name_Hall '-F 4 2 3'
_cell_length_a 11.234
_cell_length_b 11.234
_cell_length_c 11.234
_cell_angle_alpha 90.00
_cell_angle_beta 90.00
_cell_angle_gamma 90.00
loop_
_atom_site_label
_atom_site_fract_x
_atom_site_fract_y
_atom_site_fract_z
Cs1 0.250 0.250 0.250
Tl1 0.000 0.000 0.000
Hg1 0.000 0.000 0.500
Br1 0.000 0.000 0.254
# D(E_F) (states/eV/f.u.): 1.2
# Total moment (μB/cell): 0.00
# Total energy (eV/f.u.): -26.8

---

# Cs2YHgBr6 PBEsol optimized geometry
data_Cs2YHgBr6
_chemical_formula_sum 'Cs8 Y4 Hg4 Br24'
_symmetry_space_group_name_H-M 'F m -3 m'
_symmetry_Int_Tables_number 225
_symmetry_space_group_name_Hall '-F 4 2 3'
_cell_length_a 11.434
_cell_length_b 11.434
_cell_length_c 11.434
_cell_angle_alpha 90.00
_cell_angle_beta 90.00
_cell_angle_gamma 90.00
loop_
_atom_site_label
_atom_site_fract_x
_atom_site_fract_y
_atom_site_fract_z
Cs1 0.250 0.250 0.250
Y1 0.000 0.000 0.000
Hg1 0.000 0.000 0.500
Br1 0.000 0.000 0.241
# D(E_F) (states/eV/f.u.): 3.9
# Total moment (μB/cell): 0.00
# Total energy (eV/f.u.): -35.4

---

# Cs3Ho2Br9 PBEsol optimized geometry
data_Cs3Ho2Br9
_chemical_formula_sum 'Cs18 Ho12 Br54'
_symmetry_space_group_name_H-M 'R -3 c'
_symmetry_Int_Tables_number 167
_symmetry_space_group_name_Hall '-R 3 2"c'
_cell_length_a 13.4432
_cell_length_b 13.4432
_cell_length_c 19.2016
_cell_angle_alpha 90.00
_cell_angle_beta 90.00
_cell_angle_gamma 120.00
loop_
_atom_site_label
_atom_site_fract_x
_atom_site_fract_y
_atom_site_fract_z
Cs1 0.0000 0.3382 0.2500
Ho1 0.0000 0.0000 0.1506
Br1 0.0000 0.1582 0.7500
Br2 0.0063 0.1795 0.4135
# D(E_F) (states/eV/f.u.): 0.0
# Total moment (μB/cell): 0.00
# Total energy (eV/f.u.): -56.0

---

# CsHoNb6Br18 PBEsol optimized geometry
data_CsHoNb6Br18
_chemical_formula_sum 'Cs2 Ho2 Nb12 Br36'
_symmetry_space_group_name_H-M 'P -3 1 c'
_symmetry_Int_Tables_number 163
_symmetry_space_group_name_Hall '-P 3 2c'
_cell_length_a 9.6631
_cell_length_b 9.6631
_cell_length_c 18.0169
_cell_angle_alpha 90.00
_cell_angle_beta 90.00
_cell_angle_gamma 120.00
loop_
_atom_site_label
_atom_site_fract_x
_atom_site_fract_y
_atom_site_fract_z
Cs1 0.3333 0.6667 0.2500
Ho1 0.3333 0.6667 0.7500
Nb1 0.0381 0.1911 0.5663
Br1 0.0454 0.2348 0.3377
Br2 0.0823 0.4491 0.6617
Br3 0.1426 0.4224 0.0005
# Total moment (μB/cell): 0.00
# Total energy (eV/f.u.): -134.2